A relaxed structure of Sm2Ga4Pd3Rh. Source: Alexandria via LeMat-Bulk, functional PBE.

Lattice parameters (Å, degrees): 4.271 4.271 10.370 90.00 90.00 90.00
Space group P-4m2 (No. 115)
Unique sites:
Sm  0.000  0.500  0.248 x2
Ga  0.000  0.000  0.500 x1
Ga  0.000  0.500  0.872 x2
Ga  0.500  0.500  0.500 x1
Pd  0.000  0.000  0.000 x1
Pd  0.000  0.500  0.633 x2
Rh  0.500  0.500  0.000 x1

Results
calculated total energy = -52.5 eV per formula unit
formation energy = -0.804 eV per atom
volume = 189.2 Å³/cell

=====

A relaxed structure of Pm6Sm12Tm. Source: Alexandria via LeMat-Bulk, functional PBE.

Lattice parameters (Å, degrees): 16.4374 16.4374 8.5085 90.00 90.00 120.00
Space group R-3m (No. 166, hexagonal axes)
Unique sites:
Pm  0.0838  0.1677  0.1470 x18
Sm  0.0000  0.3818  0.0000 x18
Sm  0.0927  0.5463  0.3141 x18
Tm  0.0000  0.0000  0.5000 x3

Results
calculated total energy = -83.5 eV per formula unit
formation energy = 0.319 eV per atom
excess energy over the best structure of this formula in the dataset = 333.7 kJ/mol of formula units
volume = 1990.9 Å³/cell